Tm4InCu2Os | Alexandria via LeMat-Bulk | GGA-PBE | relaxed; V = 170.1 Å³/cell; E_form = -0.36 eV/atom; N(E_F) = 4.2 states/eV per cell; energy = -42.89 eV per cell; size of the total moment = 0.000 μB per cell
1.0
2.4644 1.4228 8.0850
-2.4644 1.4228 8.0850
0.0000 -2.8456 8.0850
Tm In Cu Os
4 1 2 1
direct
0.1155 0.1155 0.1155
0.3676 0.3676 0.3676
0.6324 0.6324 0.6324
0.8845 0.8845 0.8845
0.5000 0.5000 0.5000
0.2435 0.2435 0.2435
0.7565 0.7565 0.7565
0.0000 0.0000 0.0000


Pr2HoSnC | Alexandria via LeMat-Bulk | GGA-PBE | relaxed; V = 130.1 Å³/cell; E_form = -0.49 eV/atom; N(E_F) = 2.2 states/eV per cell; energy = -29.80 eV per cell; size of the total moment = 0.000 μB per cell
1.0
5.1598 0.0000 0.0000
0.0000 5.1598 0.0000
0.0000 0.0000 4.8866
Pr Ho Sn C
2 1 1 1
direct
0.0000 0.5000 0.0000
0.5000 0.0000 0.0000
0.0000 0.0000 0.5000
0.5000 0.5000 0.5000
0.0000 0.0000 0.0000


CaSc2Br | Alexandria via LeMat-Bulk | GGA-PBE | relaxed; V = 108.9 Å³/cell; N(E_F) = 3.8 states/eV per cell; formation energy from raw total energies = 0.06 eV/atom; energy = -16.08 eV per cell; size of the total moment = 0.000 μB per cell; distance to the lowest polymorph of the same formula = 0.520 eV/atom
1.0
5.5472 0.0000 0.0000
0.0000 5.5472 0.0000
0.0000 0.0000 3.5384
Ca Sc Br
1 2 1
direct
0.0000 0.0000 0.0000
0.0000 0.5000 0.5000
0.5000 0.0000 0.5000
0.5000 0.5000 0.0000


BaNi5Ge3 | Alexandria via LeMat-Bulk | GGA-PBE | relaxed; V = 288.0 Å³/cell; E_form = -0.40 eV/atom; N(E_F) = 9.4 states/eV per cell; energy = -96.59 eV per cell; size of the total moment = 0.000 μB per cell
1.0
1.9076 -6.1775 0.0000
1.9076 6.1775 0.0000
0.0000 0.0000 12.2181
Ba Ni Ge
2 10 6
direct
0.1678 0.8322 0.7500
0.8322 0.1678 0.2500
0.0000 0.0000 0.0000
0.0000 0.0000 0.5000
0.1917 0.8083 0.0633
0.1917 0.8083 0.4367
0.4489 0.5511 0.6436
0.4489 0.5511 0.8564
0.5511 0.4489 0.1436
0.5511 0.4489 0.3564
0.8083 0.1917 0.5633
0.8083 0.1917 0.9367
0.1043 0.8957 0.2500
0.3800 0.6200 0.0364
0.3800 0.6200 0.4636
0.6200 0.3800 0.5364
0.6200 0.3800 0.9636
0.8957 0.1043 0.7500


Look up the energy of the third one. -16.08 eV per cell